[1]
BaPrHo: optimized geometry, PBE.

Cell lengths 3.8142, 3.8142, 9.4918 Å; angles 90.00, 90.00, 120.00 degrees
Space group P3m1 (No. 156)
One atom of each set of equivalent atoms:
1 Ba 0.0000 0.0000 0.0000
2 Pr 0.3333 0.6667 0.6375
3 Ho 0.6667 0.3333 0.3464

Values from the calculation:
Total magnetic moment = 0.000 μB/f.u.
Density = 6.15 Mg/m³
Excess energy over the best structure of this formula in the dataset = 12.8 meV per atom
Crystal system = trigonal
ΔH_f (0 K) = 171 meV/atom

[2]
Ba3Pr3HoS8: optimized geometry, PBE.

Cell lengths 14.478, 8.364, 8.752 Å; angles 90.00, 123.44, 90.00 degrees
Space group C2/m (No. 12)
One atom of each set of equivalent atoms:
1 Ba 0.000 0.000 0.000
2 Ba 0.250 0.250 0.000
3 Pr 0.000 0.500 0.500
4 Pr 0.250 0.250 0.500
5 Ho 0.000 0.000 0.500
6 S 0.010 0.240 0.289
7 S 0.230 0.000 0.711
8 S 0.241 0.500 0.723

Values from the calculation:
Total magnetic moment = 0.000 μB/f.u.
Density = 4.72 Mg/m³
Crystal system = monoclinic
Uncorrected formation energy = -30.81 eV per formula unit

[3]
Ba3Pr3HoSe8: optimized geometry, PBE.

Cell lengths 8.6724, 8.6724, 22.7398 Å; angles 90.00, 90.00, 120.00 degrees
Space group R-3m (No. 166, hexagonal axes)
One atom of each set of equivalent atoms:
1 Ba 0.0000 0.5000 0.0000
2 Pr 0.0000 0.5000 0.5000
3 Ho 0.0000 0.0000 0.5000
4 Se 0.0000 0.0000 0.2419
5 Se 0.0113 0.5056 0.2382

Values from the calculation:
Total magnetic moment = 0.000 μB/f.u.
Density = 5.49 Mg/m³
Crystal system = trigonal
Uncorrected formation energy = -29.06 eV per formula unit

[4]
BaPrHo4Se8: optimized geometry, PBE.

Cell lengths 8.5749, 8.5749, 21.4860 Å; angles 90.00, 90.00, 120.00 degrees
Space group R3m (No. 160, hexagonal axes)
One atom of each set of equivalent atoms:
1 Ba 0.0000 0.0000 0.0000
2 Pr 0.0000 0.0000 0.6304
3 Ho 0.0000 0.0000 0.2541
4 Ho 0.1685 0.3371 0.4612
5 Se 0.0000 0.0000 0.3859
6 Se 0.0000 0.0000 0.8597
7 Se 0.0388 0.5194 0.3885
8 Se 0.1726 0.3453 0.2063

Values from the calculation:
Total magnetic moment = 0.000 μB/f.u.
Density = 5.72 Mg/m³
Crystal system = trigonal
Uncorrected formation energy = -24.72 eV per formula unit

[5]
Ba3Pr2HoSe6: optimized geometry, PBE.

Cell lengths 7.586, 13.121, 7.833 Å; angles 90.00, 108.86, 90.00 degrees
Space group C2/m (No. 12)
One atom of each set of equivalent atoms:
1 Ba 0.000 0.000 0.000
2 Ba 0.000 0.330 0.000
3 Pr 0.000 0.166 0.500
4 Ho 0.000 0.500 0.500
5 Se 0.234 0.339 0.718
6 Se 0.248 0.500 0.278

Values from the calculation:
Total magnetic moment = 0.000 μB/f.u.
Density = 6.00 Mg/m³
Crystal system = monoclinic
Uncorrected formation energy = -22.80 eV per formula unit

[6]
Ba3PrHo3Te8: optimized geometry, PBE.

Cell lengths 9.0212, 9.0212, 23.8550 Å; angles 90.00, 90.00, 120.00 degrees
Space group R-3m (No. 166, hexagonal axes)
One atom of each set of equivalent atoms:
1 Ba 0.0000 0.5000 0.0000
2 Pr 0.0000 0.0000 0.5000
3 Ho 0.0000 0.5000 0.5000
4 Te 0.0000 0.0000 0.2382
5 Te 0.0150 0.5075 0.7597

Values from the calculation:
Total magnetic moment = 0.000 μB/f.u.
Density = 6.13 Mg/m³
Crystal system = trigonal
Uncorrected formation energy = -22.95 eV per formula unit